(1)
Computed, not measured: a geometry-optimized Y2CuSiC structure at the PBE level of DFT.

```
Y2CuSiC
1.0
-4.730 -1.041 0.995
0.847 -3.622 0.238
0.901 0.528 4.833
Y Si Cu C
2 1 1 1
Direct
0.000 0.000 0.500 Y
0.500 0.000 0.000 Y
0.000 0.500 0.000 Si
0.500 0.500 0.500 Cu
0.000 0.000 0.000 C
```

Results
- Crystal system: tetragonal
- Formation energy without anion corrections: -0.176 eV/atom



(2)
Computed, not measured: a geometry-optimized CuAgCl2 structure at the PBE level of DFT.

```
CuAgCl2
1.0
3.685 0.000 0.000
0.000 6.838 0.000
0.000 0.000 3.569
Cl Ag Cu
2 1 1
Direct
0.000 0.000 0.000 Cl
0.500 0.500 0.000 Cl
0.000 0.500 0.500 Ag
0.500 0.000 0.500 Cu
```

Results
- Crystal system: orthorhombic
- Formation energy without anion corrections: -0.205 eV/atom



(3)
Computed, not measured: a geometry-optimized Y2HoMg4 structure at the PBE level of DFT.

```
Y2HoMg4
1.0
-5.438 -0.726 -0.701
0.715 -0.060 -5.484
3.397 -7.579 3.315
Mg Y Ho
4 2 1
Direct
0.000 0.500 0.000 Mg
0.188 0.188 0.377 Mg
0.500 0.000 0.000 Mg
0.812 0.812 0.623 Mg
0.604 0.604 0.209 Y
0.396 0.396 0.791 Y
0.000 0.000 0.000 Ho
```

Results
- E: -2.82 eV per atom
- Crystal system: tetragonal



(4)
Computed, not measured: a geometry-optimized BaPuBr2 structure at the PBE level of DFT.

```
BaPuBr2
1.0
4.092 0.000 0.000
2.046 3.544 0.000
2.046 1.181 10.506
Br Pu Ba
2 1 1
Direct
0.895 0.895 0.316 Br
0.105 0.105 0.684 Br
0.500 0.500 0.500 Pu
0.000 0.000 0.000 Ba
```

Results
- Crystal system: trigonal
- Formation energy without anion corrections: -1.040 eV/atom



(5)
Computed, not measured: a geometry-optimized AcLa2Sm9 structure at the PBE level of DFT.

```
AcLa2Sm9
1.0
-0.434 4.723 2.138
-4.881 -1.096 1.429
5.241 -5.659 13.566
Sm La Ac
9 2 1
Direct
0.500 0.500 0.000 Sm
0.000 0.500 0.830 Sm
0.500 0.500 0.335 Sm
0.500 0.000 0.830 Sm
0.500 0.000 0.170 Sm
0.000 0.500 0.500 Sm
0.500 0.500 0.665 Sm
0.000 0.500 0.170 Sm
0.500 0.000 0.500 Sm
0.000 0.000 0.665 La
0.000 0.000 0.335 La
0.000 0.000 0.000 Ac
```

Results
- E: -4.68 eV per atom
- Crystal system: tetragonal



(6)
Computed, not measured: a geometry-optimized Cs2RbGaBi2 structure at the PBE level of DFT.

```
Cs2RbGaBi2
1.0
-7.690 4.957 -0.142
-1.871 -3.099 -6.855
0.773 -7.034 7.352
Bi Cs Rb Ga
4 4 2 2
Direct
0.235 0.916 0.831 Bi
0.596 0.416 0.831 Bi
0.765 0.084 0.169 Bi
0.404 0.584 0.169 Bi
0.871 0.671 0.343 Cs
0.129 0.329 0.657 Cs
0.528 0.829 0.657 Cs
0.472 0.171 0.343 Cs
0.000 0.250 0.000 Rb
0.000 0.750 0.000 Rb
0.500 0.250 0.000 Ga
0.500 0.750 0.000 Ga
```

Results
- E: -2.59 eV per atom
- Crystal system: orthorhombic



(7)
Computed, not measured: a geometry-optimized Li2TlSb structure at the PBE level of DFT.

```
Li2TlSb
1.0
-0.555 -2.920 -1.573
0.009 -1.600 2.958
-7.582 1.106 0.621
Sb Tl Li
1 1 2
Direct
0.500 0.500 0.250 Sb
0.500 0.500 0.750 Tl
0.000 0.000 0.016 Li
0.000 0.000 0.484 Li
```

Results
- Crystal system: tetragonal
- Formation energy without anion corrections: -0.324 eV/atom



(8)
Computed, not measured: a geometry-optimized Zr4Sb2Te structure at the PBE level of DFT.

```
Zr4Sb2Te
1.0
5.171 0.000 0.000
0.000 5.171 0.000
2.585 2.585 7.493
Zr Te Sb
4 1 2
Direct
0.185 0.185 0.630 Zr
0.000 0.500 0.000 Zr
0.500 0.000 0.000 Zr
0.815 0.815 0.370 Zr
0.000 0.000 0.000 Te
0.626 0.626 0.748 Sb
0.374 0.374 0.252 Sb
```

Results
- Crystal system: tetragonal
- Formation energy without anion corrections: 0.234 eV/atom



(9)
Computed, not measured: a geometry-optimized MgTe2Br structure at the PBE level of DFT.

```
MgTe2Br
1.0
0.000 3.758 3.758
3.758 0.000 3.758
3.758 3.758 0.000
Te Br Mg
2 1 1
Direct
0.250 0.250 0.250 Te
0.750 0.750 0.750 Te
0.500 0.500 0.500 Br
0.000 0.000 0.000 Mg
```

Results
- Crystal system: cubic
- Formation energy without anion corrections: 0.036 eV/atom



(10)
Computed, not measured: a geometry-optimized NpGaRe structure at the PBE level of DFT.

```
NpGaRe
1.0
2.978 0.000 0.000
0.000 2.978 0.000
-1.489 -1.489 13.130
Re Np Ga
2 2 2
Direct
0.721 0.721 0.441 Re
0.279 0.279 0.559 Re
0.862 0.862 0.724 Np
0.138 0.138 0.276 Np
0.452 0.452 0.904 Ga
0.548 0.548 0.096 Ga
```

Results
- E: -9.39 eV per atom
- Crystal system: tetragonal



(11)
Computed, not measured: a geometry-optimized BaMg3B structure at the PBE level of DFT.

```
BaMg3B
1.0
4.939 0.000 0.000
0.000 4.939 0.000
0.000 0.000 4.939
B Mg Ba
1 3 1
Direct
0.000 0.000 0.000 B
0.000 0.500 0.000 Mg
0.500 0.000 0.000 Mg
0.000 0.000 0.500 Mg
0.500 0.500 0.500 Ba
```

Results
- E: -2.35 eV per atom
- Crystal system: cubic



(12)
Computed, not measured: a geometry-optimized Pm2Be15Co2 structure at the PBE level of DFT.

```
Pm2Be15Co2
1.0
-4.404 3.726 -1.423
-4.405 -3.974 0.325
-1.666 1.262 5.561
Be Pm Co
15 2 2
Direct
0.671 0.671 0.144 Be
0.329 0.856 0.329 Be
0.856 0.329 0.329 Be
0.671 0.144 0.671 Be
0.000 0.500 0.000 Be
0.731 0.269 0.000 Be
0.269 0.731 0.000 Be
0.000 0.000 0.500 Be
0.731 0.000 0.269 Be
0.000 0.269 0.731 Be
0.500 0.000 0.000 Be
0.329 0.329 0.856 Be
0.269 0.000 0.731 Be
0.144 0.671 0.671 Be
0.000 0.731 0.269 Be
0.656 0.656 0.656 Pm
0.344 0.344 0.344 Pm
0.900 0.900 0.900 Co
0.100 0.100 0.100 Co
```

Results
- E: -4.32 eV per atom
- Crystal system: trigonal



(13)
Computed, not measured: a geometry-optimized RbPrReO6 structure at the PBE level of DFT.

```
RbPrReO6
1.0
-4.989 -1.298 2.874
-0.213 -3.772 4.497
1.047 4.719 3.679
O Re Pr Rb
6 1 1 1
Direct
0.579 0.026 0.308 O
0.350 0.603 0.322 O
0.041 0.398 0.310 O
0.320 0.092 0.675 O
0.085 0.555 0.707 O
0.613 0.321 0.655 O
0.347 0.336 0.464 Re
0.670 0.658 0.545 Pr
0.995 0.011 0.014 Rb
```

Results
- Crystal system: triclinic
- Formation energy without anion corrections: -1.925 eV/atom



(14)
Computed, not measured: a geometry-optimized La2PdRh structure at the PBE level of DFT.

```
La2PdRh
1.0
7.759 0.000 0.000
0.000 7.759 0.000
3.880 3.880 3.348
Pd La Rh
2 4 2
Direct
0.750 0.250 0.500 Pd
0.000 0.000 0.000 Pd
0.875 0.860 0.750 La
0.140 0.625 0.250 La
0.610 0.125 0.250 La
0.375 0.390 0.750 La
0.250 0.750 0.500 Rh
0.500 0.500 0.000 Rh
```

Results
- E: -6.11 eV per atom
- Crystal system: tetragonal



(15)
Computed, not measured: a geometry-optimized NbRePt structure at the PBE level of DFT.

```
NbRePt
1.0
4.503 0.000 0.000
-2.251 3.900 0.000
0.000 0.000 5.559
Nb Pt Re
2 2 2
Direct
0.667 0.333 0.197 Nb
0.000 0.000 0.594 Nb
0.667 0.333 0.689 Pt
0.333 0.667 0.900 Pt
0.000 0.000 0.125 Re
0.333 0.667 0.404 Re
```

Results
- E: -9.76 eV per atom
- Crystal system: trigonal



(16)
Computed, not measured: a geometry-optimized CdAs2PbO6 structure at the PBE level of DFT.

```
CdAs2PbO6
1.0
5.708 0.000 0.000
2.854 4.943 0.000
2.854 1.648 5.693
O Pb Cd As
6 1 1 2
Direct
0.265 0.940 0.271 O
0.477 0.735 0.729 O
0.940 0.523 0.271 O
0.735 0.060 0.729 O
0.523 0.265 0.271 O
0.060 0.477 0.729 O
0.000 0.000 0.000 Pb
0.500 0.500 0.500 Cd
0.274 0.274 0.177 As
0.726 0.726 0.823 As
```

Results
- Crystal system: trigonal
- Formation energy without anion corrections: -0.991 eV/atom



(17)
Computed, not measured: a geometry-optimized Pm2Sc3Sn4 structure at the PBE level of DFT.

```
Pm2Sc3Sn4
1.0
7.786 -0.112 0.000
-2.658 7.546 0.000
0.000 0.000 8.008
Sc Pm Sn
6 4 8
Direct
0.000 0.500 0.500 Sc
0.500 0.500 0.000 Sc
0.755 0.750 0.336 Sc
0.255 0.750 0.164 Sc
0.245 0.250 0.664 Sc
0.745 0.250 0.836 Sc
0.440 0.808 0.675 Pm
0.060 0.192 0.175 Pm
0.560 0.192 0.325 Pm
0.940 0.808 0.825 Pm
0.639 0.504 0.636 Sn
0.361 0.496 0.364 Sn
0.652 0.915 0.044 Sn
0.848 0.085 0.544 Sn
0.348 0.085 0.956 Sn
0.861 0.496 0.136 Sn
0.139 0.504 0.864 Sn
0.152 0.915 0.456 Sn
```

Results
- E: -5.72 eV per atom
- Crystal system: monoclinic



(18)
Computed, not measured: a geometry-optimized TaSb2Os structure at the PBE level of DFT.

```
TaSb2Os
1.0
5.274 0.005 0.049
4.330 3.011 0.049
2.060 0.647 5.050
Ta Sb Os
1 2 1
Direct
0.464 0.464 0.442 Ta
0.029 0.029 0.937 Sb
0.229 0.229 0.289 Sb
0.778 0.778 0.833 Os
```

Results
- Crystal system: monoclinic
- Formation energy without anion corrections: 0.253 eV/atom



(19)
Computed, not measured: a geometry-optimized ZnPb2Se structure at the PBE level of DFT.

```
ZnPb2Se
1.0
6.439 0.000 0.000
0.000 6.439 0.000
3.220 3.220 6.658
Zn Se Pb
2 2 4
Direct
0.500 0.500 0.000 Zn
0.250 0.750 0.500 Zn
0.000 0.000 0.000 Se
0.750 0.250 0.500 Se
0.375 0.398 0.750 Pb
0.875 0.852 0.750 Pb
0.602 0.125 0.250 Pb
0.148 0.625 0.250 Pb
```

Results
- Crystal system: tetragonal
- Formation energy without anion corrections: 0.034 eV/atom



(20)
Computed, not measured: a geometry-optimized Dy4C structure at the PBE level of DFT.

```
Dy4C
1.0
-2.813 4.097 0.892
-3.822 -2.064 -2.575
-1.725 -2.110 4.251
C Dy
1 4
Direct
0.500 0.500 0.500 C
0.500 0.500 0.000 Dy
0.000 0.000 0.000 Dy
0.500 0.000 0.500 Dy
0.000 0.500 0.500 Dy
```

Results
- E: -5.54 eV per atom
- Crystal system: cubic



(21)
Computed, not measured: a geometry-optimized Cs2AcMnSe4 structure at the PBE level of DFT.

```
Cs2AcMnSe4
1.0
8.744 -0.045 0.574
-0.051 8.744 0.574
-3.781 -3.783 7.491
Se Mn Ac Cs
8 2 2 4
Direct
0.861 0.248 0.115 Se
0.252 0.639 0.385 Se
0.157 0.183 0.933 Se
0.843 0.817 0.067 Se
0.748 0.361 0.615 Se
0.317 0.343 0.567 Se
0.139 0.752 0.885 Se
0.683 0.657 0.433 Se
0.000 0.000 0.000 Mn
0.500 0.500 0.500 Mn
0.000 0.500 0.500 Ac
0.000 0.500 0.000 Ac
0.000 0.000 0.500 Cs
0.500 0.000 0.500 Cs
0.500 0.500 0.000 Cs
0.500 0.000 0.000 Cs
```

Results
- Crystal system: monoclinic
- Formation energy without anion corrections: -1.107 eV/atom



(22)
Computed, not measured: a geometry-optimized K2MgU2Se6 structure at the PBE level of DFT.

```
K2MgU2Se6
1.0
7.129 -0.035 0.075
-3.553 6.180 0.075
-1.259 -2.164 7.810
Se U Mg K
6 2 1 2
Direct
0.736 0.736 0.696 Se
0.399 0.065 0.698 Se
0.065 0.399 0.698 Se
0.601 0.935 0.302 Se
0.264 0.264 0.304 Se
0.935 0.601 0.302 Se
0.666 0.334 0.500 U
0.334 0.666 0.500 U
0.000 0.000 0.500 Mg
0.165 0.835 0.000 K
0.835 0.165 0.000 K
```

Results
- Crystal system: monoclinic
- Formation energy without anion corrections: -1.251 eV/atom



(23)
Computed, not measured: a geometry-optimized ThUCd17 structure at the PBE level of DFT.

```
ThUCd17
1.0
-5.615 4.596 2.478
-3.527 -5.024 4.595
3.238 2.157 6.607
Cd Th U
17 1 1
Direct
0.624 0.624 0.207 Cd
0.345 0.345 0.875 Cd
0.695 0.301 0.002 Cd
0.695 0.002 0.301 Cd
0.979 0.979 0.523 Cd
0.875 0.345 0.345 Cd
0.103 0.103 0.103 Cd
0.301 0.695 0.002 Cd
0.002 0.695 0.301 Cd
0.301 0.002 0.695 Cd
0.345 0.875 0.345 Cd
0.906 0.906 0.906 Cd
0.002 0.301 0.695 Cd
0.979 0.523 0.979 Cd
0.624 0.207 0.624 Cd
0.207 0.624 0.624 Cd
0.523 0.979 0.979 Cd
0.666 0.666 0.666 Th
0.327 0.327 0.327 U
```

Results
- E: -1.79 eV per atom
- Crystal system: trigonal



(24)
Computed, not measured: a geometry-optimized K4TlIn structure at the PBE level of DFT.

```
K4TlIn
1.0
0.000 5.155 5.155
5.155 0.000 5.155
5.155 5.155 0.000
Tl K In
1 4 1
Direct
0.750 0.750 0.750 Tl
0.876 0.375 0.375 K
0.375 0.876 0.375 K
0.375 0.375 0.876 K
0.375 0.375 0.375 K
0.000 0.000 0.000 In
```

Results
- E: -1.34 eV per atom
- Crystal system: cubic